Record 1
VASP calculation (PBE) on Rb2Na2Cd after structural relaxation.

Computed properties:
As for the energy of formation: 0.35 eV/f.u. Its magnetization is 0.00 μB/cell. The value obtained for the electronic total energy is -5.1 eV/cell. As for the energy above the lowest structure with this stoichiometry: 51 meV per atom.

abc: 4.7174 4.7174 12.2176
angles: 78.87 78.87 90.00
Fractional positions:
Na 0.7500 0.2500 0.5000
Na 0.2500 0.7500 0.5000
Rb 0.4061 0.4061 0.1878
Rb 0.5939 0.5939 0.8122
Cd 0.0000 0.0000 0.0000

=====

Record 2
VASP calculation (PBE) on RbNa6Cd after structural relaxation.

Computed properties:
As for the energy of formation: 0.40 eV/f.u. Its magnetization is 0.00 μB/cell. The value obtained for the electronic total energy is -9.4 eV/cell. As for the energy above the lowest structure with this stoichiometry: 29 meV per atom.

abc: 5.3674 5.3674 11.9630
angles: 90.00 90.00 90.00
Fractional positions:
Rb 0.0000 0.0000 0.0000
Na 0.5000 0.0000 0.6503
Na 0.0000 0.5000 0.6503
Na 0.5000 0.5000 0.1469
Na 0.5000 0.5000 0.8531
Na 0.0000 0.5000 0.3497
Na 0.5000 0.0000 0.3497
Cd 0.0000 0.0000 0.5000

=====

Record 3
VASP calculation (PBE) on RbNa2Cd after structural relaxation.

Computed properties:
As for the energy of formation: 0.03 eV/f.u. Its magnetization is 0.00 μB/cell. The value obtained for the electronic total energy is -4.5 eV/cell.

abc: 5.6041 5.6041 7.2578
angles: 67.29 67.29 60.00
Fractional positions:
Rb 0.4940 0.4940 0.5179
Na 0.0192 0.0192 0.9423
Na 0.2920 0.2920 0.1240
Cd 0.6947 0.6947 0.9159

=====

Record 4
VASP calculation (PBE) on RbNaCd5 after structural relaxation.

Computed properties:
As for the energy of formation: -0.52 eV/f.u. Its magnetization is 0.00 μB/cell. The value obtained for the electronic total energy is -29.5 eV/cell.

abc: 6.4402 9.7527 12.7912
angles: 90.00 90.00 90.00
Fractional positions:
Rb 0.2500 0.2402 0.9390
Rb 0.7500 0.2598 0.4390
Rb 0.2500 0.7402 0.5610
Rb 0.7500 0.7598 0.0610
Na 0.2500 0.8719 0.8594
Na 0.7500 0.6281 0.3594
Na 0.2500 0.3719 0.6406
Na 0.7500 0.1281 0.1406
Cd 0.2500 0.6057 0.0243
Cd 0.7500 0.8943 0.5243
Cd 0.2500 0.1057 0.4757
Cd 0.7500 0.3943 0.9757
Cd 0.7500 0.3264 0.7380
Cd 0.2500 0.1736 0.2380
Cd 0.7500 0.8264 0.7620
Cd 0.2500 0.6736 0.2620
Cd 0.2500 0.9165 0.1130
Cd 0.7500 0.5835 0.6130
Cd 0.2500 0.4165 0.3870
Cd 0.7500 0.0835 0.8870
Cd 0.9886 0.4271 0.1770
Cd 0.0114 0.0729 0.6770
Cd 0.5114 0.9271 0.3230
Cd 0.4886 0.5729 0.8230
Cd 0.0114 0.5729 0.8230
Cd 0.9886 0.9271 0.3230
Cd 0.4886 0.0729 0.6770
Cd 0.5114 0.4271 0.1770

=====

Record 5
VASP calculation (PBE) on Rb2Na6Cd after structural relaxation.

Computed properties:
As for the energy of formation: 0.17 eV/f.u. Its magnetization is 0.00 μB/cell. The value obtained for the electronic total energy is -10.6 eV/cell. As for the energy above the lowest structure with this stoichiometry: 0 meV per atom.

abc: 7.7298 7.6327 8.0247
angles: 78.23 90.00 120.42
Fractional positions:
Rb 0.6521 0.3042 0.1347
Rb 0.3479 0.6958 0.8653
Na 0.8729 0.2506 0.6699
Na 0.8818 0.7635 0.6904
Na 0.3777 0.2506 0.6699
Na 0.1271 0.7494 0.3301
Na 0.1182 0.2365 0.3096
Na 0.6223 0.7494 0.3301
Cd 0.0000 0.0000 0.0000

=====

Record 6
VASP calculation (PBE) on Rb2Na15Cd2 after structural relaxation.

Computed properties:
As for the energy of formation: 0.31 eV/f.u. Its magnetization is 0.00 μB/cell. The value obtained for the electronic total energy is -23.2 eV/cell.

abc: 9.1385 9.1385 9.1385
angles: 83.81 83.81 83.81
Fractional positions:
Rb 0.3377 0.3377 0.3377
Rb 0.6623 0.6623 0.6623
Na 0.5000 0.0000 0.0000
Na 0.0000 0.0000 0.5000
Na 0.0000 0.5000 0.0000
Na 0.0000 0.7235 0.2765
Na 0.7235 0.2765 0.0000
Na 0.2765 0.0000 0.7235
Na 0.2765 0.7235 0.0000
Na 0.7235 0.0000 0.2765
Na 0.0000 0.2765 0.7235
Na 0.1328 0.6538 0.6538
Na 0.6538 0.6538 0.1328
Na 0.6538 0.1328 0.6538
Na 0.8672 0.3462 0.3462
Na 0.3462 0.3462 0.8672
Na 0.3462 0.8672 0.3462
Cd 0.0896 0.0896 0.0896
Cd 0.9104 0.9104 0.9104

=====

Record 7
VASP calculation (PBE) on RbNa12Cd6 after structural relaxation.

Computed properties:
As for the energy of formation: 0.12 eV/f.u. Its magnetization is 0.00 μB/cell. The value obtained for the electronic total energy is -22.2 eV/cell. As for the energy above the lowest structure with this stoichiometry: 8 meV per atom.

abc: 9.0407 9.0407 9.0407
angles: 104.15 104.15 104.15
Fractional positions:
Rb 0.0000 0.0000 0.0000
Na 0.8847 0.1153 0.5000
Na 0.8482 0.5792 0.5792
Na 0.5792 0.5792 0.8482
Na 0.4208 0.1518 0.4208
Na 0.4208 0.4208 0.1518
Na 0.1518 0.4208 0.4208
Na 0.1153 0.5000 0.8847
Na 0.5000 0.8847 0.1153
Na 0.1153 0.8847 0.5000
Na 0.8847 0.5000 0.1153
Na 0.5000 0.1153 0.8847
Na 0.5792 0.8482 0.5792
Cd 0.7065 0.2668 0.2668
Cd 0.2668 0.2668 0.7065
Cd 0.2668 0.7065 0.2668
Cd 0.7332 0.7332 0.2935
Cd 0.2935 0.7332 0.7332
Cd 0.7332 0.2935 0.7332

=====

Record 8
VASP calculation (PBE) on Rb3NaCd after structural relaxation.

Computed properties:
As for the energy of formation: 0.54 eV/f.u. Its magnetization is 0.00 μB/cell. The value obtained for the electronic total energy is -4.6 eV/cell. As for the energy above the lowest structure with this stoichiometry: 112 meV per atom.

abc: 7.1400 7.1400 7.1400
angles: 90.00 90.00 90.00
Fractional positions:
Na 0.5000 0.5000 0.5000
Rb 0.0000 0.5000 0.0000
Rb 0.0000 0.0000 0.5000
Rb 0.5000 0.0000 0.0000
Cd 0.0000 0.0000 0.0000

=====

Record 9
VASP calculation (PBE) on Rb12Na3Cd after structural relaxation.

Computed properties:
As for the energy of formation: 0.63 eV/f.u. Its magnetization is 0.00 μB/cell. The value obtained for the electronic total energy is -15.9 eV/cell.

abc: 6.6361 6.6361 26.2386
angles: 90.00 90.00 90.00
Fractional positions:
Rb 0.5000 0.5000 0.0000
Rb 0.5000 0.5000 0.2424
Rb 0.5000 0.5000 0.5000
Rb 0.5000 0.5000 0.7576
Rb 0.5000 0.0000 0.1141
Rb 0.5000 0.0000 0.3711
Rb 0.5000 0.0000 0.6289
Rb 0.5000 0.0000 0.8859
Rb 0.0000 0.5000 0.1141
Rb 0.0000 0.5000 0.3711
Rb 0.0000 0.5000 0.6289
Rb 0.0000 0.5000 0.8859
Na 0.0000 0.0000 0.2441
Na 0.0000 0.0000 0.5000
Na 0.0000 0.0000 0.7559
Cd 0.0000 0.0000 0.0000

=====

Record 10
VASP calculation (PBE) on RbNa10Cd2 after structural relaxation.

Computed properties:
As for the energy of formation: -0.27 eV/f.u. Its magnetization is 0.00 μB/cell. The value obtained for the electronic total energy is -32.5 eV/cell.

abc: 8.9779 8.9779 11.7333
angles: 90.00 90.00 98.55
Fractional positions:
Rb 0.8761 0.1239 0.7500
Rb 0.1239 0.8761 0.2500
Na 0.4094 0.1250 0.7500
Na 0.5906 0.8750 0.2500
Na 0.8750 0.5906 0.7500
Na 0.1250 0.4094 0.2500
Na 0.5268 0.7685 0.7500
Na 0.4732 0.2315 0.2500
Na 0.2315 0.4732 0.7500
Na 0.7685 0.5268 0.2500
Na 0.8327 0.1673 0.4049
Na 0.1673 0.8327 0.9049
Na 0.8327 0.1673 0.0951
Na 0.1673 0.8327 0.5951
Na 0.6172 0.3828 0.9428
Na 0.3828 0.6172 0.4428
Na 0.6172 0.3828 0.5572
Na 0.3828 0.6172 0.0572
Na 0.7762 0.7762 0.0000
Na 0.2238 0.2238 0.5000
Na 0.2238 0.2238 0.0000
Na 0.7762 0.7762 0.5000
Cd 0.5000 0.0000 0.0000
Cd 0.5000 0.0000 0.5000
Cd 0.0000 0.5000 0.5000
Cd 0.0000 0.5000 0.0000

=====

Record 11
VASP calculation (PBE) on RbNa12Cd6 after structural relaxation.

Computed properties:
As for the energy of formation: -0.04 eV/f.u. Its magnetization is 0.00 μB/cell. The value obtained for the electronic total energy is -22.3 eV/cell. As for the energy above the lowest structure with this stoichiometry: 0 meV per atom.

abc: 8.4836 8.4836 8.4836
angles: 88.93 88.93 88.93
Fractional positions:
Rb 0.0000 0.0000 0.0000
Na 0.4746 0.1953 0.5812
Na 0.1953 0.5812 0.4746
Na 0.5812 0.4746 0.1953
Na 0.5254 0.8047 0.4188
Na 0.8047 0.4188 0.5254
Na 0.4188 0.5254 0.8047
Na 0.8337 0.9799 0.6054
Na 0.3946 0.1663 0.0201
Na 0.0201 0.3946 0.1663
Na 0.1663 0.0201 0.3946
Na 0.6054 0.8337 0.9799
Na 0.9799 0.6054 0.8337
Cd 0.1173 0.2666 0.7050
Cd 0.7334 0.2950 0.8827
Cd 0.2950 0.8827 0.7334
Cd 0.8827 0.7334 0.2950
Cd 0.2666 0.7050 0.1173
Cd 0.7050 0.1173 0.2666

=====

Record 12
VASP calculation (PBE) on Rb2Na5Cd4 after structural relaxation.

Computed properties:
As for the energy of formation: -0.19 eV/f.u. Its magnetization is 0.00 μB/cell. The value obtained for the electronic total energy is -12.4 eV/cell.

abc: 7.0224 8.6477 8.3248
angles: 75.01 65.05 66.04
Fractional positions:
Rb 0.3008 0.7503 0.6481
Rb 0.6992 0.2497 0.3519
Na 0.2209 0.2014 0.8577
Na 0.7791 0.7986 0.1423
Na 0.0000 0.5000 0.5000
Na 0.7200 0.2014 0.8577
Na 0.2800 0.7986 0.1423
Cd 0.3103 0.1180 0.2614
Cd 0.6897 0.8820 0.7386
Cd 0.7723 0.5343 0.9210
Cd 0.2277 0.4657 0.0790